Here is a relaxed structure of Pm2Co3P4Ru from Alexandria via LeMat-Bulk. Energies are from PBE.

Unit cell a=4.007 b=4.007 c=9.251 alpha=90.00 beta=90.00 gamma=90.00
Sites, in units of the cell vectors:
Pm 0.000 0.500 0.237
Pm 0.500 0.000 0.763
Co 0.000 0.500 0.890
Co 0.500 0.000 0.110
Co 0.500 0.500 0.500
P 0.000 0.000 0.000
P 0.000 0.500 0.638
P 0.500 0.000 0.362
P 0.500 0.500 0.000
Ru 0.000 0.000 0.500

Calculated values
Symmetry: No. 115
Crystal system: tetragonal

***

Here is a relaxed structure of LiTc2P from Alexandria via LeMat-Bulk. Energies are from PBE.

Unit cell a=2.983 b=2.983 c=5.705 alpha=90.00 beta=90.00 gamma=90.00
Sites, in units of the cell vectors:
Li 0.000 0.000 0.000
Tc 0.000 0.000 0.455
Tc 0.500 0.500 0.750
P 0.500 0.500 0.215

Calculated values
Symmetry: No. 99
Crystal system: tetragonal

***

no.,energy (eV per atom),volume (Å³ per cell)
1,-7.17,148.5
2,-7.16,50.8